1.
DFT (GGA-PBE) results for a relaxed structure of TcAg2.

The volume is 16.5 A^3/atom. The value obtained for the energy of formation from the pure elements is 365 meV per atom.

It has space group Cmcm (No. 63), with a = 2.784 Å, b = 15.749 Å, c = 4.528 Å, α = 90.00°, β = 90.00° and γ = 90.00°. The asymmetric unit holds Tc at (0.000, 0.226, 0.250), Ag at (0.000, 0.115, 0.750) and Ag at (0.000, 0.443, 0.750).

***

2.
DFT (GGA-PBE) results for a relaxed structure of Tc3Ag.

The volume is 15.3 A^3/atom. The value obtained for the energy of formation from the pure elements is 221 meV per atom.

It has space group P-6m2 (No. 187), with a = 2.7712 Å, b = 2.7712 Å, c = 9.2152 Å, α = 90.00°, β = 90.00° and γ = 120.00°. The asymmetric unit holds Tc at (0.0000, 0.0000, 0.0000), Tc at (0.3333, 0.6667, 0.2320) and Ag at (0.0000, 0.0000, 0.5000).

***

3.
DFT (GGA-PBE) results for a relaxed structure of Tc3Ag.

The volume is 15.4 A^3/atom. The value obtained for the energy of formation from the pure elements is 316 meV per atom.

It has space group P4/mmm (No. 123), with a = 2.735 Å, b = 2.735 Å, c = 8.220 Å, α = 90.00°, β = 90.00° and γ = 90.00°. The asymmetric unit holds Tc at (0.000, 0.000, 0.000), Tc at (0.500, 0.500, 0.229) and Ag at (0.000, 0.000, 0.500).

***

4.
DFT (GGA-PBE) results for a relaxed structure of Tc3Ag5.

The volume is 17.5 A^3/atom. The value obtained for the energy of formation from the pure elements is 856 meV per atom.

It has space group P6_3/mcm (No. 193), with a = 8.0845 Å, b = 8.0845 Å, c = 4.9481 Å, α = 90.00°, β = 90.00° and γ = 120.00°. The asymmetric unit holds Tc at (0.0000, 0.4277, 0.2500), Ag at (0.0000, 0.2137, 0.7500) and Ag at (0.3333, 0.6667, 0.0000).

***

5.
DFT (GGA-PBE) results for a relaxed structure of Tc2Ag.

The volume is 15.6 A^3/atom. The value obtained for the energy of formation from the pure elements is 252 meV per atom.

It has space group Cmcm (No. 63), with a = 2.766 Å, b = 15.275 Å, c = 4.436 Å, α = 90.00°, β = 90.00° and γ = 90.00°. The asymmetric unit holds Tc at (0.000, 0.048, 0.250), Tc at (0.000, 0.400, 0.250) and Ag at (0.000, 0.282, 0.750).

***

6.
DFT (GGA-PBE) results for a relaxed structure of Tc2Ag.

The volume is 18.9 A^3/atom. The value obtained for the energy of formation from the pure elements is 1632 meV per atom.

It has space group P4/mmm (No. 123), with a = 4.660 Å, b = 4.660 Å, c = 2.607 Å, α = 90.00°, β = 90.00° and γ = 90.00°. The asymmetric unit holds Tc at (0.000, 0.500, 0.000) and Ag at (0.000, 0.000, 0.500).

***

7.
DFT (GGA-PBE) results for a relaxed structure of Tc3Ag.

The volume is 15.1 A^3/atom. The value obtained for the energy of formation from the pure elements is 418 meV per atom.

It has space group P6_3/mmc (No. 194), with a = 5.5791 Å, b = 5.5791 Å, c = 8.9767 Å, α = 90.00°, β = 90.00° and γ = 120.00°. The asymmetric unit holds Tc at (0.0000, 0.5000, 0.0000), Tc at (0.1772, 0.3544, 0.2500), Ag at (0.0000, 0.0000, 0.0000) and Ag at (0.3333, 0.6667, 0.7500).

***

8.
DFT (GGA-PBE) results for a relaxed structure of TcAg4.

The volume is 17.6 A^3/atom. The value obtained for the energy of formation from the pure elements is 472 meV per atom.

It has space group I4/m (No. 87), with a = 6.547 Å, b = 6.547 Å, c = 4.101 Å, α = 90.00°, β = 90.00° and γ = 90.00°. The asymmetric unit holds Tc at (0.000, 0.000, 0.000) and Ag at (0.102, 0.298, 0.500).